# Sm4SbTeSe2 (GGA-PBE, relaxed)
data_Sm4SbTeSe2
_symmetry_space_group_name_H-M 'P 1 2/m 1'
_symmetry_Int_Tables_number 10
_cell_length_a 7.4681
_cell_length_b 4.2980
_cell_length_c 7.5170
_cell_angle_alpha 90.00
_cell_angle_beta 109.16
_cell_angle_gamma 90.00
loop_
_symmetry_equiv_pos_as_xyz
'x,y,z'
'-x,-y,-z'
'-x,y,-z'
'x,-y,z'
loop_
_atom_site_label
_atom_site_fract_x
_atom_site_fract_y
_atom_site_fract_z
Sm1 0.2343 0.0000 0.2245
Sm2 0.2498 0.5000 0.7693
Sb1 0.0000 0.0000 0.5000
Te1 0.5000 0.5000 0.5000
Se1 0.0000 0.5000 0.0000
Se2 0.5000 0.0000 0.0000
# Formation energy from raw total energies = -1.5616 eV per atom
# Magnetization = 0.000 μB per formula unit

***

# La2GaBiW (GGA-PBE, relaxed)
data_La2GaBiW
_symmetry_space_group_name_H-M 'P 4/m m m'
_symmetry_Int_Tables_number 123
_symmetry_space_group_name_Hall '-P 4 2'
_cell_length_a 5.8265
_cell_length_b 5.8265
_cell_length_c 4.9121
_cell_angle_alpha 90.00
_cell_angle_beta 90.00
_cell_angle_gamma 90.00
loop_
_atom_site_label
_atom_site_fract_x
_atom_site_fract_y
_atom_site_fract_z
La1 0.0000 0.5000 0.0000
Ga1 0.0000 0.0000 0.0000
Bi1 0.5000 0.5000 0.5000
W1 0.0000 0.0000 0.5000
# Formation energy from the elements = 0.362 eV/atom
# Magnetization = 1.966 μB per formula unit

***

# CaVMo3 (GGA-PBE, relaxed)
data_CaVMo3
_symmetry_space_group_name_H-M 'P m -3 m'
_symmetry_Int_Tables_number 221
_symmetry_space_group_name_Hall '-P 4 2 3'
_cell_length_a 4.6578
_cell_length_b 4.6578
_cell_length_c 4.6578
_cell_angle_alpha 90.00
_cell_angle_beta 90.00
_cell_angle_gamma 90.00
loop_
_atom_site_label
_atom_site_fract_x
_atom_site_fract_y
_atom_site_fract_z
Ca1 0.0000 0.0000 0.0000
V1 0.5000 0.5000 0.5000
Mo1 0.0000 0.5000 0.5000
# Relative energy among the computed polymorphs = 0 meV per atom
# Formation energy from the elements = 1.073 eV/atom
# Magnetization = 0.001 μB per formula unit

***

# Ac2TmSnO6 (GGA-PBE, relaxed)
data_Ac2TmSnO6
_symmetry_space_group_name_H-M 'P 1 21/c 1'
_symmetry_Int_Tables_number 14
_cell_length_a 5.9951
_cell_length_b 6.1936
_cell_length_c 10.4877
_cell_angle_alpha 90.00
_cell_angle_beta 124.72
_cell_angle_gamma 90.00
loop_
_symmetry_equiv_pos_as_xyz
'x,y,z'
'-x,-y,-z'
'-x,y+1/2,-z+1/2'
'x,-y+1/2,z+1/2'
loop_
_atom_site_label
_atom_site_fract_x
_atom_site_fract_y
_atom_site_fract_z
Ac1 0.2346 0.0508 0.2494
Tm1 0.5000 0.0000 0.0000
Sn1 0.0000 0.0000 0.5000
O1 0.1431 0.1977 0.9409
O2 0.2406 0.7044 0.9376
O3 0.3676 0.0472 0.7541
# Formation energy from raw total energies = -2.8659 eV per atom
# Magnetization = 0.001 μB per formula unit

***

# NaHgF3 (GGA-PBE, relaxed)
data_NaHgF3
_symmetry_space_group_name_H-M 'P m -3 m'
_symmetry_Int_Tables_number 221
_symmetry_space_group_name_Hall '-P 4 2 3'
_cell_length_a 4.1200
_cell_length_b 4.1200
_cell_length_c 4.1200
_cell_angle_alpha 90.00
_cell_angle_beta 90.00
_cell_angle_gamma 90.00
loop_
_atom_site_label
_atom_site_fract_x
_atom_site_fract_y
_atom_site_fract_z
Na1 0.0000 0.0000 0.0000
Hg1 0.5000 0.5000 0.5000
F1 0.0000 0.0000 0.5000
# Formation energy from raw total energies = -1.5219 eV per atom
# Magnetization = 0.000 μB per formula unit

***

# CePrPt2 (GGA-PBE, relaxed)
data_CePrPt2
_symmetry_space_group_name_H-M 'P 1 m 1'
_symmetry_Int_Tables_number 6
_cell_length_a 3.8801
_cell_length_b 4.5173
_cell_length_c 5.8623
_cell_angle_alpha 90.00
_cell_angle_beta 109.24
_cell_angle_gamma 90.00
loop_
_symmetry_equiv_pos_as_xyz
'x,y,z'
'x,-y,z'
loop_
_atom_site_label
_atom_site_fract_x
_atom_site_fract_y
_atom_site_fract_z
Ce1 0.0000 0.0000 0.0000
Pr1 0.2711 0.5000 0.5435
Pt1 0.5396 0.5000 0.0793
Pt2 0.7218 0.0000 0.4445
# Relative energy among the computed polymorphs = 0 meV per atom
# Formation energy from the elements = -1.100 eV/atom
# Magnetization = 0.629 μB per formula unit

***

# UHIrRu2 (GGA-PBE, relaxed)
data_UHIrRu2
_symmetry_space_group_name_H-M 'P 4/m m m'
_symmetry_Int_Tables_number 123
_symmetry_space_group_name_Hall '-P 4 2'
_cell_length_a 4.0959
_cell_length_b 4.0959
_cell_length_c 3.9820
_cell_angle_alpha 90.00
_cell_angle_beta 90.00
_cell_angle_gamma 90.00
loop_
_atom_site_label
_atom_site_fract_x
_atom_site_fract_y
_atom_site_fract_z
U1 0.0000 0.0000 0.0000
H1 0.5000 0.5000 0.5000
Ir1 0.5000 0.5000 0.0000
Ru1 0.0000 0.5000 0.5000
# E_tot = -0.645 Ry per atom
# Magnetization = 0.000 μB per formula unit

***

# BIrRu (GGA-PBE, relaxed)
data_BIrRu
_symmetry_space_group_name_H-M 'P n m a'
_symmetry_Int_Tables_number 62
_cell_length_a 6.8499
_cell_length_b 2.7838
_cell_length_c 7.3313
_cell_angle_alpha 90.00
_cell_angle_beta 90.00
_cell_angle_gamma 90.00
loop_
_symmetry_equiv_pos_as_xyz
'x,y,z'
'-x,-y,-z'
'-x+1/2,-y,z+1/2'
'x+1/2,y,-z+1/2'
'x+1/2,-y+1/2,-z+1/2'
'-x+1/2,y+1/2,z+1/2'
'-x,y+1/2,-z'
'x,-y+1/2,z'
loop_
_atom_site_label
_atom_site_fract_x
_atom_site_fract_y
_atom_site_fract_z
B1 0.2270 0.2500 0.1921
Ir1 0.1735 0.7500 0.9735
Ru1 0.0107 0.7500 0.3365
# Formation energy from the elements = -0.117 eV/atom
# Magnetization = 0.000 μB per formula unit

***

no.,ρ (Mg/m³)
1,7.350
2,7.373
3,6.225
4,8.691
5,6.662
6,11.488
7,15.744
8,14.448